No. 1
{
  "formula": "Rb4VI6",
  "functional": "PBE-GGA",
  "state": "optimized geometry",
  "raw_formation_energy_ev_per_atom": -1.1782,
  "rho_g_cm3": 3.70,
  "magnetic_moment_mub_per_cell": 6.00,
  "volume_a3_per_atom": 47.1,
  "lattice_angstrom": [[9.971, 0.000, 0.000], [0.000, 9.971, 0.000], [0.000, 0.000, 10.430]],
  "species": ["I", "V", "Rb", "Rb", "I", "I", "I", "Rb", "Rb", "I", "I", "I", "Rb", "Rb", "I", "V", "Rb", "I", "Rb", "I", "I", "I"],
  "fractional_positions": [[0.500, 0.500, 0.276], [0.000, 0.000, 0.500], [0.176, 0.676, 0.750], [0.824, 0.324, 0.750], [0.000, 0.000, 0.776], [0.000, 0.000, 0.224], [0.283, 0.917, 0.500], [0.324, 0.176, 0.250], [0.824, 0.324, 0.250], [0.417, 0.783, 0.000], [0.500, 0.500, 0.724], [0.083, 0.283, 0.500], [0.176, 0.676, 0.250], [0.324, 0.176, 0.750], [0.783, 0.583, 0.000], [0.500, 0.500, 0.000], [0.676, 0.824, 0.750], [0.217, 0.417, 0.000], [0.676, 0.824, 0.250], [0.717, 0.083, 0.500], [0.583, 0.217, 0.000], [0.917, 0.717, 0.500]]
}

***

No. 2
{
  "formula": "Li2TePbSe4",
  "functional": "PBE-GGA",
  "state": "optimized geometry",
  "raw_formation_energy_ev_per_atom": -0.5594,
  "rho_g_cm3": 5.68,
  "magnetic_moment_mub_per_cell": 0.00,
  "volume_a3_per_atom": 24.3,
  "lattice_angstrom": [[8.177, 0.042, -0.076], [0.036, 8.178, -0.076], [-4.095, -4.098, 5.886]],
  "species": ["Pb", "Se", "Pb", "Se", "Se", "Li", "Se", "Li", "Se", "Se", "Se", "Li", "Te", "Te", "Li", "Se"],
  "fractional_positions": [[0.000, 0.500, 0.500], [0.269, 0.776, 0.022], [0.000, 0.500, 0.000], [0.724, 0.231, 0.478], [0.736, 0.764, 0.996], [0.500, 0.000, 0.500], [0.264, 0.236, 0.496], [0.000, 0.000, 0.500], [0.276, 0.769, 0.522], [0.736, 0.764, 0.504], [0.264, 0.236, 0.004], [0.500, 0.000, 0.000], [0.500, 0.500, 0.500], [0.000, 0.000, 0.000], [0.500, 0.500, 0.000], [0.731, 0.224, 0.978]]
}

***

No. 3
{
  "formula": "Li12NpN7",
  "functional": "PBE-GGA",
  "state": "optimized geometry",
  "raw_formation_energy_ev_per_atom": -0.4103,
  "rho_g_cm3": 2.82,
  "magnetic_moment_mub_per_cell": 1.98,
  "volume_a3_per_atom": 12.3,
  "lattice_angstrom": [[-6.693, 3.780, -1.583], [1.194, -5.019, -4.065], [0.177, -2.591, 6.033]],
  "species": ["Li", "N", "Np", "Li", "Li", "N", "N", "Li", "Li", "N", "Li", "Li", "Li", "Li", "Li", "N", "Li", "Li", "N", "N"],
  "fractional_positions": [[0.189, 0.528, 0.123], [0.331, 0.332, 0.201], [0.000, 0.000, 0.000], [0.661, 0.595, 0.472], [0.339, 0.405, 0.528], [0.130, 0.799, 0.130], [0.669, 0.668, 0.799], [0.934, 0.123, 0.595], [0.643, 0.818, 0.082], [0.001, 0.130, 0.332], [0.439, 0.082, 0.265], [0.175, 0.735, 0.818], [0.561, 0.918, 0.735], [0.825, 0.265, 0.182], [0.066, 0.877, 0.405], [0.500, 0.000, 0.000], [0.357, 0.182, 0.918], [0.811, 0.472, 0.877], [0.870, 0.201, 0.870], [0.999, 0.870, 0.668]]
}

***

No. 4
{
  "formula": "CaSmGa4",
  "functional": "PBE-GGA",
  "state": "optimized geometry",
  "formation_enthalpy_0k_kj_per_mol_fu": -328.2,
  "rho_g_cm3": 5.75,
  "relative_energy_mev_per_atom": 0,
  "magnetic_moment_mub_per_cell": 0.00,
  "volume_a3_per_atom": 22.6,
  "lattice_angstrom": [[3.860, 0.000, 1.855], [1.988, 5.656, 0.807], [-0.503, -0.674, 5.990]],
  "species": ["Sm", "Ga", "Ga", "Ga", "Ga", "Ca"],
  "fractional_positions": [[0.000, 0.000, 0.500], [0.331, 0.405, 0.433], [0.669, 0.068, 0.095], [0.331, 0.932, 0.905], [0.669, 0.595, 0.567], [0.000, 0.500, 0.000]]
}

***

No. 5
{
  "formula": "BaZnI4",
  "functional": "PBE-GGA",
  "state": "optimized geometry",
  "raw_formation_energy_ev_per_atom": -1.1618,
  "rho_g_cm3": 4.06,
  "magnetic_moment_mub_per_cell": 0.00,
  "volume_a3_per_atom": 48.4,
  "lattice_angstrom": [[-1.082, -1.976, 8.889], [5.352, -5.382, -5.145], [8.375, 0.840, 3.636]],
  "species": ["Ba", "I", "Zn", "I", "Zn", "I", "Ba", "I", "I", "I", "I", "I"],
  "fractional_positions": [[0.875, 0.625, 0.250], [0.193, 0.125, 0.068], [0.625, 0.875, 0.750], [0.807, 0.238, 0.568], [0.375, 0.125, 0.250], [0.375, 0.307, 0.432], [0.125, 0.375, 0.750], [0.807, 0.875, 0.932], [0.262, 0.693, 0.932], [0.193, 0.762, 0.432], [0.625, 0.693, 0.568], [0.738, 0.307, 0.068]]
}

***

No. 6
{
  "formula": "NaCd2IrO5",
  "functional": "PBE-GGA",
  "state": "optimized geometry",
  "raw_formation_energy_ev_per_atom": -0.8461,
  "rho_g_cm3": 7.00,
  "magnetic_moment_mub_per_cell": 0.67,
  "volume_a3_per_atom": 13.7,
  "lattice_angstrom": [[-3.529, -1.048, -0.319], [1.157, -2.306, -5.211], [2.449, -3.337, 5.265]],
  "species": ["Cd", "O", "O", "O", "O", "Ir", "Cd", "Na", "O"],
  "fractional_positions": [[0.773, 0.773, 0.546], [0.000, 0.000, 0.000], [0.367, 0.639, 0.733], [0.633, 0.361, 0.267], [0.633, 0.905, 0.267], [0.500, 0.000, 0.000], [0.227, 0.227, 0.454], [0.000, 0.500, 0.000], [0.367, 0.095, 0.733]]
}

***

No. 7
{
  "formula": "K4PtI6",
  "functional": "PBE-GGA",
  "state": "optimized geometry",
  "raw_formation_energy_ev_per_atom": -0.9950,
  "rho_g_cm3": 4.11,
  "magnetic_moment_mub_per_cell": 1.71,
  "volume_a3_per_atom": 40.9,
  "lattice_angstrom": [[9.672, 0.000, 0.000], [0.000, 9.672, 0.000], [0.000, 0.000, 9.617]],
  "species": ["K", "K", "K", "I", "Pt", "I", "I", "K", "I", "Pt", "I", "I", "K", "I", "I", "I", "I", "I", "K", "I", "K", "K"],
  "fractional_positions": [[0.671, 0.829, 0.250], [0.829, 0.329, 0.750], [0.171, 0.671, 0.250], [0.000, 0.000, 0.782], [0.500, 0.500, 0.000], [0.093, 0.299, 0.500], [0.500, 0.500, 0.718], [0.671, 0.829, 0.750], [0.907, 0.701, 0.500], [0.000, 0.000, 0.500], [0.201, 0.407, 0.000], [0.000, 0.000, 0.218], [0.829, 0.329, 0.250], [0.500, 0.500, 0.282], [0.799, 0.593, 0.000], [0.407, 0.799, 0.000], [0.299, 0.907, 0.500], [0.593, 0.201, 0.000], [0.329, 0.171, 0.750], [0.701, 0.093, 0.500], [0.171, 0.671, 0.750], [0.329, 0.171, 0.250]]
}

***

No. 8
{
  "formula": "LaPr6Th",
  "functional": "PBE-GGA",
  "state": "optimized geometry",
  "formation_enthalpy_0k_kj_per_mol_fu": 25.2,
  "rho_g_cm3": 7.07,
  "relative_energy_mev_per_atom": 0,
  "magnetic_moment_mub_per_cell": 0.00,
  "volume_a3_per_atom": 35.7,
  "lattice_angstrom": [[5.223, 0.000, 0.000], [0.000, 5.223, 0.000], [0.000, 0.000, 10.471]],
  "species": ["Pr", "Pr", "Pr", "Pr", "Th", "Pr", "Pr", "La"],
  "fractional_positions": [[0.500, 0.500, 0.500], [0.500, 0.000, 0.744], [0.000, 0.500, 0.256], [0.000, 0.500, 0.744], [0.000, 0.000, 0.500], [0.500, 0.500, 0.000], [0.500, 0.000, 0.256], [0.000, 0.000, 0.000]]
}

***

Question: Number 1 is which compound?
Answer: Rb4VI6